VASP calculation (PBE) on a relaxed YZnTe2O8 crystal.

Calculated values
Formation energy without anion corrections   -1.363 eV per atom
Total magnetic moment   0.000 μB/cell
Calculated volume   175.0 Å³/cell

a = 6.1073 Å, b = 6.1073 Å, c = 6.1073 Å
α = 107.92°, β = 107.92°, γ = 112.62°
Closest atoms and distances in Å follow each position.
Positions (direct):
Y: 0.2500 0.7500 0.5000  8 O 2.28-2.49
Zn: 0.0000 0.0000 0.0000  4 O 2.23
Te: 0.7500 0.2500 0.5000  4 O 1.92
Te: 0.5000 0.5000 0.0000  4 O 1.86
O: 0.3608 0.0551 0.3057  1 Te 1.92
O: 0.3119 0.5006 0.1887  1 Te 1.86
O: 0.3119 0.1233 0.8113  1 Te 1.86
O: 0.7494 0.0551 0.6943  1 Te 1.92
O: 0.8767 0.6881 0.1887  1 Te 1.86
O: 0.9449 0.2506 0.3057  1 Te 1.92
O: 0.9449 0.6392 0.6943  1 Te 1.92
O: 0.4994 0.6881 0.8113  1 Te 1.86